#i
## TlTeOs (PBE)

Data for crystalline TlTeOs at its relaxed geometry.

The calculation puts the density of states at the Fermi level at 0.3422 states/eV per atom.

It has space group I4mm (No. 107), with a = 3.218 Å, b = 3.218 Å, c = 14.321 Å, α = 90.00°, β = 90.00° and γ = 90.00°. The distinct sites, in fractional coordinates, are Tl at (0.000, 0.000, 0.000), Te at (0.000, 0.000, 0.740) and Os at (0.000, 0.000, 0.338).

#ii
## TlTeOs (PBE)

Data for crystalline TlTeOs at its relaxed geometry.

The calculation puts the density of states at the Fermi level at 0.5246 states/eV per atom.

It has space group P3m1 (No. 156), with a = 3.7464 Å, b = 3.7464 Å, c = 6.1930 Å, α = 90.00°, β = 90.00° and γ = 120.00°. The distinct sites, in fractional coordinates, are Tl at (0.0000, 0.0000, 0.0000), Te at (0.3333, 0.6667, 0.5378) and Os at (0.6667, 0.3333, 0.3117).

Most stable: #i. Least stable: #ii.

#i
## TlTe3Os (PBE)

Data for crystalline TlTe3Os at its relaxed geometry.

The calculation puts the density of states at the Fermi level at 1.2446 states/eV per atom.

It has space group Pm-3m (No. 221), with a = 5.346 Å, b = 5.346 Å, c = 5.346 Å, α = 90.00°, β = 90.00° and γ = 90.00°. The distinct sites, in fractional coordinates, are Tl at (0.000, 0.000, 0.000), Te at (0.000, 0.500, 0.500) and Os at (0.500, 0.500, 0.500).

#ii
## TlTe3Os (PBE)

Data for crystalline TlTe3Os at its relaxed geometry.

The calculation puts the density of states at the Fermi level at 1.8645 states/eV per atom.

It has space group Pm-3m (No. 221), with a = 5.694 Å, b = 5.694 Å, c = 5.694 Å, α = 90.00°, β = 90.00° and γ = 90.00°. The distinct sites, in fractional coordinates, are Tl at (0.000, 0.000, 0.000), Te at (0.000, 0.000, 0.500) and Os at (0.500, 0.500, 0.500).

Most stable: #i. Least stable: #ii.

#i
## Tm4TeOs (PBE)

Data for crystalline Tm4TeOs at its relaxed geometry.

The calculation puts the density of states at the Fermi level at 0.7912 states/eV per atom.

It has space group Pnma (No. 62), with a = 7.870 Å, b = 4.076 Å, c = 19.234 Å, α = 90.00°, β = 90.00° and γ = 90.00°. The distinct sites, in fractional coordinates, are Tm at (0.000, 0.250, 0.067), Tm at (0.060, 0.250, 0.790), Tm at (0.129, 0.250, 0.358), Tm at (0.140, 0.250, 0.542), Te at (0.247, 0.250, 0.195) and Os at (0.249, 0.750, 0.446).

#ii
## Tm4TeOs (PBE)

Data for crystalline Tm4TeOs at its relaxed geometry.

The calculation puts the density of states at the Fermi level at 0.6913 states/eV per atom.

It has space group C2/m (No. 12), with a = 17.892 Å, b = 5.299 Å, c = 9.412 Å, α = 90.00°, β = 111.19° and γ = 90.00°. The distinct sites, in fractional coordinates, are Tm at (0.020, 0.000, 0.245), Tm at (0.101, 0.500, 0.030), Tm at (0.197, 0.000, 0.903), Tm at (0.235, 0.000, 0.299), Te at (0.164, 0.000, 0.558) and Os at (0.094, 0.000, 0.049).

Most stable: #i. Least stable: #ii.

#i
## TeOsW3 (PBE)

Data for crystalline TeOsW3 at its relaxed geometry.

The calculation puts the density of states at the Fermi level at 1.4109 states/eV per atom.

It has space group Pm-3m (No. 221), with a = 4.770 Å, b = 4.770 Å, c = 4.770 Å, α = 90.00°, β = 90.00° and γ = 90.00°. The distinct sites, in fractional coordinates, are Te at (0.000, 0.000, 0.000), Os at (0.500, 0.500, 0.500) and W at (0.000, 0.000, 0.500).

#ii
## TeOsW3 (PBE)

Data for crystalline TeOsW3 at its relaxed geometry.

The calculation puts the density of states at the Fermi level at 1.3425 states/eV per atom.

It has space group Pm-3m (No. 221), with a = 4.807 Å, b = 4.807 Å, c = 4.807 Å, α = 90.00°, β = 90.00° and γ = 90.00°. The distinct sites, in fractional coordinates, are Te at (0.000, 0.000, 0.000), Os at (0.500, 0.500, 0.500) and W at (0.000, 0.500, 0.500).

Most stable: #ii. Least stable: #i.